[1]
Below is crystalline NdSn2Bi3 at its relaxed geometry, with properties calculated at the PBE-GGA level.

Cell and atoms, written as extended XYZ:
```
12
Lattice="-3.927 -1.983 -1.616 1.728 -6.036 3.206 -5.751 3.497 9.681" Properties=species:S:1:pos:R:3 pbc="T T T"
Sn 0.605 -5.209 4.920
Sn -3.864 0.001 9.385
Sn -4.494 0.339 3.707
Sn -4.175 -2.347 6.228
Bi -1.638 -0.431 4.508
Bi -1.780 -2.157 0.176
Bi -2.460 -4.109 4.222
Bi -6.303 -1.900 10.848
Bi -2.260 -2.546 8.612
Bi -5.711 0.361 6.637
Nd -5.070 3.059 8.565
Nd 0.200 -2.638 2.750
```

Summary:
The density of states at the Fermi level comes out at 0.48 states/eV per atom. The value obtained for the total DFT energy (no corrections) is -4.3273 eV/atom. The calculation puts the magnetic moment at 0.0 μB per cell. The space-group type is No. 26. As for the formation energy: -258 meV/atom.

=====

[2]
Below is crystalline PmB2Pd7 at its relaxed geometry, with properties calculated at the PBE-GGA level.

Cell and atoms, written as extended XYZ:
```
10
Lattice="4.229 0.000 0.000 0.000 6.495 0.178 0.000 -2.705 5.908" Properties=species:S:1:pos:R:3 pbc="T T T"
Pd 2.115 1.808 5.698
Pd 2.115 -0.526 1.950
Pd 2.115 4.316 4.136
Pd 0.000 3.504 2.041
Pd 2.115 1.895 3.043
Pd 2.115 1.982 0.388
Pd 0.000 0.286 4.045
Pm 0.000 0.000 0.000
B 2.115 3.811 1.850
B 2.115 -0.021 4.236
```

Summary:
The density of states at the Fermi level comes out at 0.51 states/eV per atom. The value obtained for the total DFT energy (no corrections) is -5.7043 eV/atom. The calculation puts the magnetic moment at 0.0 μB per cell. The space-group type is No. 65. As for the formation energy: -259 meV/atom.

=====

What is the magnetic moment in the first record?
0.0 μB per cell

=====

magnetic moment of number 1 (NdSn2Bi3)?
0.0 μB per cell